First-principles (PBE) data for crystalline Re3W2 at its relaxed geometry, as listed in OQMD.

Magnetic moment in μB/cell: 0.01
Uncorrected energy in eV per atom: -12.601
V in Å³/cell: 466

CIF file:
```
data_Re3W2
_chemical_formula_sum 'Re18 W12'
_space_group_name_H-M_alt 'P 1'
_space_group_IT_number 1
_cell_length_a 9.645
_cell_length_b 9.645
_cell_length_c 5.010
_cell_angle_alpha 90.00
_cell_angle_beta 90.00
_cell_angle_gamma 90.00
loop_
_space_group_symop_operation_xyz
'x,y,z'
loop_
_atom_site_label
_atom_site_type_symbol
_atom_site_fract_x
_atom_site_fract_y
_atom_site_fract_z
Re1 Re 0.000 0.000 0.000
Re2 Re 0.066 0.259 0.000
Re3 Re 0.183 0.817 0.251
Re4 Re 0.183 0.817 0.749
Re5 Re 0.241 0.566 0.500
Re6 Re 0.259 0.066 0.000
Re7 Re 0.317 0.317 0.249
Re8 Re 0.317 0.317 0.751
Re9 Re 0.434 0.759 0.500
Re10 Re 0.500 0.500 0.500
Re11 Re 0.566 0.241 0.500
Re12 Re 0.683 0.683 0.249
Re13 Re 0.683 0.683 0.751
Re14 Re 0.741 0.934 0.000
Re15 Re 0.759 0.434 0.500
Re16 Re 0.817 0.183 0.251
Re17 Re 0.817 0.183 0.749
Re18 Re 0.934 0.741 0.000
W1 W 0.036 0.369 0.500
W2 W 0.101 0.101 0.500
W3 W 0.131 0.536 0.000
W4 W 0.369 0.036 0.500
W5 W 0.399 0.601 0.000
W6 W 0.464 0.869 0.000
W7 W 0.536 0.131 0.000
W8 W 0.601 0.399 0.000
W9 W 0.631 0.964 0.500
W10 W 0.869 0.464 0.000
W11 W 0.899 0.899 0.500
W12 W 0.964 0.631 0.500
```

=====

First-principles (PBE) data for crystalline HfAg2 at its relaxed geometry, as listed in OQMD.

Magnetic moment in μB/cell: 0.00
Uncorrected energy in eV per atom: -4.670
V in Å³/cell: 66

CIF file:
```
data_HfAg2
_chemical_formula_sum 'Hf1 Ag2'
_space_group_name_H-M_alt 'P 1'
_space_group_IT_number 1
_cell_length_a 4.546
_cell_length_b 4.546
_cell_length_c 4.546
_cell_angle_alpha 60.00
_cell_angle_beta 60.00
_cell_angle_gamma 60.00
loop_
_space_group_symop_operation_xyz
'x,y,z'
loop_
_atom_site_label
_atom_site_type_symbol
_atom_site_fract_x
_atom_site_fract_y
_atom_site_fract_z
Hf1 Hf 0.000 0.000 0.000
Ag1 Ag 0.250 0.250 0.250
Ag2 Ag 0.750 0.750 0.750
```

=====

First-principles (PBE) data for crystalline Er3Ni19B10 at its relaxed geometry, as listed in OQMD.

Magnetic moment in μB/cell: 0.00
Uncorrected energy in eV per atom: -6.262
V in Å³/cell: 331

CIF file:
```
data_Er3Ni19B10
_chemical_formula_sum 'Er3 Ni19 B10'
_space_group_name_H-M_alt 'P 1'
_space_group_IT_number 1
_cell_length_a 7.902
_cell_length_b 7.902
_cell_length_c 5.767
_cell_angle_alpha 91.17
_cell_angle_beta 91.17
_cell_angle_gamma 66.92
loop_
_space_group_symop_operation_xyz
'x,y,z'
loop_
_atom_site_label
_atom_site_type_symbol
_atom_site_fract_x
_atom_site_fract_y
_atom_site_fract_z
Er1 Er 0.000 0.000 0.000
Er2 Er 0.374 0.374 0.615
Er3 Er 0.626 0.626 0.385
Ni1 Ni 0.000 0.000 0.500
Ni2 Ni 0.045 0.517 0.302
Ni3 Ni 0.122 0.623 0.926
Ni4 Ni 0.162 0.162 0.704
Ni5 Ni 0.182 0.182 0.271
Ni6 Ni 0.230 0.711 0.301
Ni7 Ni 0.289 0.770 0.699
Ni8 Ni 0.377 0.878 0.074
Ni9 Ni 0.378 0.378 0.127
Ni10 Ni 0.483 0.955 0.698
Ni11 Ni 0.517 0.045 0.302
Ni12 Ni 0.622 0.622 0.873
Ni13 Ni 0.623 0.122 0.926
Ni14 Ni 0.711 0.230 0.301
Ni15 Ni 0.770 0.289 0.699
Ni16 Ni 0.818 0.818 0.729
Ni17 Ni 0.838 0.838 0.296
Ni18 Ni 0.878 0.377 0.074
Ni19 Ni 0.955 0.483 0.698
B1 B 0.066 0.699 0.569
B2 B 0.143 0.350 0.975
B3 B 0.301 0.934 0.431
B4 B 0.350 0.143 0.975
B5 B 0.385 0.615 0.000
B6 B 0.615 0.385 0.000
B7 B 0.650 0.857 0.025
B8 B 0.699 0.066 0.569
B9 B 0.857 0.650 0.025
B10 B 0.934 0.301 0.431
```

=====

First-principles (PBE) data for crystalline AcNiPt at its relaxed geometry, as listed in OQMD.

Magnetic moment in μB/cell: 0.00
Uncorrected energy in eV per atom: -5.711
V in Å³/cell: 69

CIF file:
```
data_AcNiPt
_chemical_formula_sum 'Ac1 Ni1 Pt1'
_space_group_name_H-M_alt 'P 1'
_space_group_IT_number 1
_cell_length_a 4.599
_cell_length_b 4.599
_cell_length_c 4.599
_cell_angle_alpha 60.00
_cell_angle_beta 60.00
_cell_angle_gamma 60.00
loop_
_space_group_symop_operation_xyz
'x,y,z'
loop_
_atom_site_label
_atom_site_type_symbol
_atom_site_fract_x
_atom_site_fract_y
_atom_site_fract_z
Ac1 Ac 0.000 0.000 0.000
Ni1 Ni 0.250 0.250 0.250
Pt1 Pt 0.500 0.500 0.500
```

=====

First-principles (PBE) data for crystalline HoOsW at its relaxed geometry, as listed in OQMD.

Magnetic moment in μB/cell: 0.00
Uncorrected energy in eV per atom: -8.932
V in Å³/cell: 62

CIF file:
```
data_HoOsW
_chemical_formula_sum 'Ho1 Os1 W1'
_space_group_name_H-M_alt 'P 1'
_space_group_IT_number 1
_cell_length_a 4.445
_cell_length_b 4.445
_cell_length_c 4.445
_cell_angle_alpha 60.00
_cell_angle_beta 60.00
_cell_angle_gamma 60.00
loop_
_space_group_symop_operation_xyz
'x,y,z'
loop_
_atom_site_label
_atom_site_type_symbol
_atom_site_fract_x
_atom_site_fract_y
_atom_site_fract_z
Ho1 Ho 0.000 0.000 0.000
Os1 Os 0.500 0.500 0.500
W1 W 0.250 0.250 0.250
```

=====

First-principles (PBE) data for crystalline KHg3WS4 at its relaxed geometry, as listed in OQMD.

Magnetic moment in μB/cell: 0.11
Uncorrected energy in eV per atom: -3.699
V in Å³/cell: 404

CIF file:
```
data_KHg3WS4
_chemical_formula_sum 'K1 Hg3 W1 S4'
_space_group_name_H-M_alt 'P 1'
_space_group_IT_number 1
_cell_length_a 7.394
_cell_length_b 7.394
_cell_length_c 7.394
_cell_angle_alpha 90.00
_cell_angle_beta 90.00
_cell_angle_gamma 90.00
loop_
_space_group_symop_operation_xyz
'x,y,z'
loop_
_atom_site_label
_atom_site_type_symbol
_atom_site_fract_x
_atom_site_fract_y
_atom_site_fract_z
K1 K 0.000 0.000 0.000
Hg1 Hg 0.000 0.500 0.500
Hg2 Hg 0.500 0.000 0.500
Hg3 Hg 0.500 0.500 0.000
W1 W 0.500 0.500 0.500
S1 S 0.326 0.326 0.326
S2 S 0.326 0.674 0.674
S3 S 0.674 0.326 0.674
S4 S 0.674 0.674 0.326
```

=====

First-principles (PBE) data for crystalline La2GdSn4Pb3 at its relaxed geometry, as listed in OQMD.

Magnetic moment in μB/cell: 0.01
Uncorrected energy in eV per atom: -4.703
V in Å³/cell: 290

CIF file:
```
data_La2GdSn4Pb3
_chemical_formula_sum 'La2 Gd1 Sn4 Pb3'
_space_group_name_H-M_alt 'P 1'
_space_group_IT_number 1
_cell_length_a 13.355
_cell_length_b 13.355
_cell_length_c 4.723
_cell_angle_alpha 90.00
_cell_angle_beta 90.00
_cell_angle_gamma 159.88
loop_
_space_group_symop_operation_xyz
'x,y,z'
loop_
_atom_site_label
_atom_site_type_symbol
_atom_site_fract_x
_atom_site_fract_y
_atom_site_fract_z
La1 La 0.186 0.814 0.000
La2 La 0.814 0.186 0.000
Gd1 Gd 0.000 0.000 0.000
Sn1 Sn 0.095 0.905 0.500
Sn2 Sn 0.289 0.711 0.500
Sn3 Sn 0.711 0.289 0.500
Sn4 Sn 0.905 0.095 0.500
Pb1 Pb 0.406 0.594 0.000
Pb2 Pb 0.500 0.500 0.500
Pb3 Pb 0.594 0.406 0.000
```

=====

First-principles (PBE) data for crystalline HoTmPbC at its relaxed geometry, as listed in OQMD.

Magnetic moment in μB/cell: 0.02
Uncorrected energy in eV per atom: -6.019
V in Å³/cell: 179

CIF file:
```
data_HoTmPbC
_chemical_formula_sum 'Ho2 Tm2 Pb2 C2'
_space_group_name_H-M_alt 'P 1'
_space_group_IT_number 1
_cell_length_a 3.603
_cell_length_b 3.603
_cell_length_c 15.947
_cell_angle_alpha 90.00
_cell_angle_beta 90.00
_cell_angle_gamma 120.00
loop_
_space_group_symop_operation_xyz
'x,y,z'
loop_
_atom_site_label
_atom_site_type_symbol
_atom_site_fract_x
_atom_site_fract_y
_atom_site_fract_z
Ho1 Ho 0.333 0.667 0.000
Ho2 Ho 0.667 0.333 0.500
Tm1 Tm 0.333 0.667 0.336
Tm2 Tm 0.667 0.333 0.836
Pb1 Pb 0.333 0.667 0.668
Pb2 Pb 0.667 0.333 0.168
C1 C 0.000 0.000 0.417
C2 C 0.000 0.000 0.917
```